Entry 1:
This record from Alexandria via LeMat-Bulk describes an optimized crystal structure of Cr2InPt. The functional is GGA-PBE.

As for the energy: -0.514 Ry per atom. The formation energy comes out at 0.04 eV/f.u. The value obtained for the magnetic moment is 0.12 μB per atom. Its space group is F-43m. The density of states at the Fermi level comes out at 2.66 states/eV/f.u.

The structure in extended XYZ format:
```
4
Lattice="4.5095 0.0000 0.0000 2.2548 3.9053 0.0000 2.2548 1.3018 3.6820" Properties=species:S:1:pos:R:3 pbc="T T T"
In 4.5095 2.6036 1.8410
Cr 0.0000 0.0000 0.0000
Cr 2.2548 1.3018 0.9205
Pt 6.7643 3.9053 2.7615
```


Entry 2:
This record from Alexandria via LeMat-Bulk describes an optimized crystal structure of VCdAg2. The functional is GGA-PBE.

As for the energy: -0.247 Ry per atom. The formation energy comes out at 2.30 eV/f.u. The value obtained for the magnetic moment is 0.88 μB per atom. Its space group is I-42d. The density of states at the Fermi level comes out at 4.03 states/eV/f.u.

The structure in extended XYZ format:
```
8
Lattice="-0.2747 7.2578 2.0719 -7.1727 -0.8964 2.1891 -2.8385 2.4694 4.7396" Properties=species:S:1:pos:R:3 pbc="T T T"
Ag -4.9590 4.2329 5.1640
Ag -1.7765 5.0037 2.7427
Cd 0.0000 0.0000 0.0000
Cd -3.4185 6.4539 4.4710
Ag -5.2284 1.0020 2.8229
V -3.7237 3.1807 2.1305
Ag -8.6081 7.4229 7.2717
V -6.8675 2.3768 4.5296
```


Entry 3:
This record from Alexandria via LeMat-Bulk describes an optimized crystal structure of Tb2PmAl2Ga2. The functional is GGA-PBE.

As for the energy: -0.319 Ry per atom. The formation energy comes out at -2.86 eV/f.u. The value obtained for the magnetic moment is 0.00 μB per atom. Its space group is R-3m. The density of states at the Fermi level comes out at 5.65 states/eV/f.u.

The structure in extended XYZ format:
```
7
Lattice="4.2782 0.0000 0.0000 2.1391 3.7050 0.0000 2.1391 1.2350 10.9247" Properties=species:S:1:pos:R:3 pbc="T T T"
Ga 2.1391 1.2350 2.3815
Tb 2.1391 1.2350 6.7990
Pm 0.0000 0.0000 0.0000
Ga 6.4173 3.7050 8.5432
Tb 6.4173 3.7050 4.1257
Al 4.2782 2.4700 1.9890
Al 4.2782 2.4700 8.9356
```